Density functional theory data (PBE) for crystalline CoH16C4N2Cl4 at its relaxed geometry.

Structure (POSCAR):
```
CoH16C4N2Cl4
1.0
8.450 0.000 0.000
0.000 11.315 0.000
-8.440 0.000 13.015
Co H C N Cl
4 64 16 8 16
direct
0.246 0.200 0.418
0.246 0.300 0.918
0.754 0.700 0.082
0.754 0.800 0.582
0.040 0.684 0.927
0.040 0.816 0.427
0.069 0.676 0.489
0.069 0.824 0.989
0.089 0.528 0.324
0.089 0.972 0.824
0.092 0.190 0.148
0.092 0.310 0.648
0.160 0.521 0.076
0.160 0.979 0.576
0.169 0.734 0.336
0.169 0.766 0.836
0.246 0.516 0.461
0.246 0.984 0.961
0.252 0.049 0.698
0.252 0.451 0.198
0.254 0.525 0.731
0.254 0.975 0.231
0.282 0.607 0.192
0.282 0.893 0.692
0.323 0.723 0.465
0.323 0.777 0.965
0.338 0.550 0.384
0.338 0.950 0.884
0.368 0.071 0.187
0.368 0.429 0.687
0.400 0.587 0.692
0.400 0.913 0.192
0.442 0.081 0.626
0.442 0.419 0.126
0.479 0.566 0.128
0.479 0.934 0.628
0.521 0.066 0.372
0.521 0.434 0.872
0.558 0.581 0.874
0.558 0.919 0.374
0.600 0.087 0.808
0.600 0.413 0.308
0.632 0.571 0.313
0.632 0.929 0.813
0.662 0.050 0.116
0.662 0.450 0.616
0.677 0.223 0.035
0.677 0.277 0.535
0.718 0.107 0.308
0.718 0.393 0.808
0.746 0.025 0.769
0.746 0.475 0.269
0.748 0.549 0.802
0.748 0.951 0.302
0.754 0.016 0.039
0.754 0.484 0.539
0.831 0.234 0.164
0.831 0.266 0.664
0.840 0.021 0.424
0.840 0.479 0.924
0.908 0.690 0.352
0.908 0.810 0.852
0.911 0.028 0.176
0.911 0.472 0.676
0.931 0.176 0.011
0.931 0.324 0.511
0.960 0.184 0.573
0.960 0.316 0.073
0.042 0.720 0.419
0.042 0.780 0.919
0.218 0.562 0.392
0.218 0.938 0.892
0.275 0.521 0.158
0.275 0.979 0.658
0.379 0.511 0.728
0.379 0.989 0.228
0.621 0.011 0.772
0.621 0.489 0.272
0.725 0.021 0.342
0.725 0.479 0.842
0.782 0.062 0.108
0.782 0.438 0.608
0.958 0.220 0.081
0.958 0.280 0.581
0.196 0.691 0.403
0.196 0.809 0.903
0.454 0.002 0.665
0.454 0.498 0.165
0.546 0.502 0.835
0.546 0.998 0.335
0.804 0.191 0.097
0.804 0.309 0.597
0.039 0.717 0.677
0.039 0.783 0.177
0.218 0.003 0.405
0.218 0.497 0.905
0.388 0.237 0.081
0.388 0.263 0.581
0.442 0.240 0.868
0.442 0.260 0.368
0.558 0.740 0.632
0.558 0.760 0.132
0.612 0.737 0.419
0.612 0.763 0.919
0.782 0.503 0.095
0.782 0.997 0.595
0.961 0.217 0.823
0.961 0.283 0.323
```

Output
The calculated total energy is -132.2 eV/f.u. As for the space-group type: P2_1/c, No. 14.